[1]
First-principles (PBE-GGA) data for a relaxed structure of Ba2SiAg, as listed in the Alexandria database.

## Properties
symmetry	Pmmm, No. 47
formation energy from raw total energies	-0.19	eV per atom
total magnetic moment	0.0	μB per formula unit

Cell: 4.0177 3.9199 9.4161 Å, 65.44 90.00 90.00°
With the nearest neighbours (Å) after each atom.
Sites, in units of the cell vectors:
Ag  0.5000  0.7500  0.7500  8 Ba 3.61-3.62, 4 Ag 3.92-4.02
Ba  0.0000  0.9834  0.0163  4 Si 3.45, 4 Ag 3.61-3.62
Ba  0.0000  0.5166  0.4837  4 Si 3.45, 4 Ag 3.61-3.62
Si  0.5000  0.2500  0.2500  8 Ba 3.45

[2]
First-principles (PBE-GGA) data for a relaxed structure of BaSiAg, as listed in the Alexandria database.

## Properties
symmetry	Cmcm, No. 63
formation energy from raw total energies	-0.21	eV per atom
total magnetic moment	0.0	μB per formula unit

Cell: 4.0513 4.8856 8.9578 Å, 105.82 90.00 90.00°
With the nearest neighbours (Å) after each atom.
Sites, in units of the cell vectors:
Ba  0.2500  0.8924  0.7848  6 Si 3.39-3.51, 5 Ag 3.39-3.52
Ba  0.7500  0.1076  0.2152  6 Si 3.39-3.51, 5 Ag 3.39-3.52
Si  0.2500  0.5385  0.0770  2 Si 2.42, 1 Ag 2.71
Si  0.7500  0.4615  0.9230  2 Si 2.42, 1 Ag 2.71
Ag  0.7500  0.3045  0.6090  1 Si 2.71
Ag  0.2500  0.6955  0.3910  1 Si 2.71

[3]
First-principles (PBE-GGA) data for a relaxed structure of BaSi2Ag4, as listed in the Alexandria database.

## Properties
symmetry	Cmmm, No. 65
energy relative to the lowest polymorph listed for this composition	0.0	kJ/mol of formula units
formation energy from raw total energies	-0.14	eV per atom
total magnetic moment	0.0	μB per formula unit

Cell: 4.6249 4.5917 7.2886 Å, 108.36 90.00 90.00°
With the nearest neighbours (Å) after each atom.
Sites, in units of the cell vectors:
Ba  0.0000  0.0000  0.0000  8 Ag 3.41-3.45, 8 Si 3.48
Si  0.5000  0.5889  0.1778  1 Si 2.46, 4 Ag 2.65-2.66
Si  0.5000  0.4111  0.8222  1 Si 2.46, 4 Ag 2.65-2.66
Ag  0.5000  0.8147  0.6293  2 Si 2.66, 4 Ag 2.91-2.95
Ag  0.0000  0.6825  0.3650  2 Si 2.65, 4 Ag 2.95-2.96
Ag  0.5000  0.1853  0.3707  2 Si 2.66, 4 Ag 2.91-2.95
Ag  0.0000  0.3175  0.6350  2 Si 2.65, 4 Ag 2.95-2.96

[4]
First-principles (PBE-GGA) data for a relaxed structure of BaSiAg, as listed in the Alexandria database.

## Properties
symmetry	F-43m, No. 216
formation energy from raw total energies	0.12	eV per atom
total magnetic moment	1.0	μB per formula unit

Cell: 5.0964 5.0964 5.0964 Å, 60.00 60.00 60.00°
With the nearest neighbours (Å) after each atom.
Sites, in units of the cell vectors:
Ag  0.0000  0.0000  0.0000  4 Si 3.12
Ba  0.5000  0.5000  0.5000  4 Si 3.12
Si  0.7500  0.7500  0.7500  4 Ag 3.12, 4 Ba 3.12

[5]
First-principles (PBE-GGA) data for a relaxed structure of BaSiAg, as listed in the Alexandria database.

## Properties
symmetry	P-6m2, No. 187
formation energy from raw total energies	-0.27	eV per atom
total magnetic moment	0.0	μB per formula unit

Cell: 4.4320 4.4320 5.0292 Å, 90.00 90.00 120.00°
With the nearest neighbours (Å) after each atom.
Sites, in units of the cell vectors:
Ag  0.0000  0.0000  0.8332  3 Si 2.56
Ba  0.6667  0.3333  0.3335  6 Ag 3.59, 6 Si 3.59
Si  0.3333  0.6667  0.8333  3 Ag 2.56

[6]
First-principles (PBE-GGA) data for a relaxed structure of Ba2SiAg, as listed in the Alexandria database.

## Properties
symmetry	Pmm2, No. 25
formation energy from raw total energies	-0.19	eV per atom
total magnetic moment	0.0	μB per formula unit

Cell: 5.8609 3.9360 5.8576 Å, 90.00 90.00 90.00°
With the nearest neighbours (Å) after each atom.
Sites, in units of the cell vectors:
Ag  0.5000  0.6251  0.8731  8 Ba 3.52-3.53, 2 Ag 3.94
Ba  0.0000  0.1251  0.8760  4 Si 3.52-3.53, 4 Ag 3.53, 2 Ba 3.94
Ba  0.5000  0.1247  0.3742  4 Ag 3.52-3.53, 4 Si 3.53, 2 Ba 3.94
Si  0.0000  0.6251  0.3768  8 Ba 3.52-3.53, 2 Si 3.94

[7]
First-principles (PBE-GGA) data for a relaxed structure of BaSiAg, as listed in the Alexandria database.

## Properties
symmetry	F-43m, No. 216
formation energy from raw total energies	0.61	eV per atom
total magnetic moment	1.2	μB per formula unit

Cell: 5.3533 5.3533 5.3533 Å, 60.00 60.00 60.00°
With the nearest neighbours (Å) after each atom.
Sites, in units of the cell vectors:
Ag  0.5000  0.5000  0.5000  4 Ba 3.28
Ba  0.7500  0.7500  0.7500  4 Ag 3.28, 4 Si 3.28
Si  0.0000  0.0000  0.0000  4 Ba 3.28

[8]
First-principles (PBE-GGA) data for a relaxed structure of Ba3Si2Ag, as listed in the Alexandria database.

## Properties
symmetry	P2_1/c, No. 14
formation energy from raw total energies	-0.29	eV per atom
total magnetic moment	0.0	μB per formula unit

Cell: 6.6099 11.6315 11.2090 Å, 90.00 107.54 90.00°
With the nearest neighbours (Å) after each atom.
Sites, in units of the cell vectors:
Ba  0.2593  0.8932  0.9696  5 Si 3.26-3.59, 2 Ag 3.44-3.63
Ba  0.2407  0.3932  0.5304  5 Si 3.26-3.59, 2 Ag 3.44-3.63
Ba  0.7407  0.1068  0.0304  5 Si 3.26-3.59, 2 Ag 3.44-3.63
Ba  0.7593  0.6068  0.4696  5 Si 3.26-3.59, 2 Ag 3.44-3.63
Ba  0.3092  0.5328  0.0976  3 Si 3.34-3.55, 2 Ag 3.43-3.73
Ba  0.1908  0.0328  0.4024  3 Si 3.34-3.55, 2 Ag 3.43-3.73
Ba  0.6908  0.4672  0.9024  3 Si 3.34-3.55, 2 Ag 3.43-3.73
Ba  0.8092  0.9672  0.5976  3 Si 3.34-3.55, 2 Ag 3.43-3.73
Ba  0.8354  0.7739  0.1560  4 Si 3.33-3.53, 2 Ag 3.56-3.69
Ba  0.6646  0.2739  0.3440  4 Si 3.33-3.53, 2 Ag 3.56-3.69
Ba  0.1646  0.2261  0.8440  4 Si 3.33-3.53, 2 Ag 3.56-3.69
Ba  0.3354  0.7261  0.6560  4 Si 3.33-3.53, 2 Ag 3.56-3.69
Si  0.5746  0.9937  0.2694  1 Si 2.51, 1 Ag 2.61
Si  0.9254  0.4937  0.2306  1 Si 2.51, 1 Ag 2.61
Si  0.4254  0.0063  0.7306  1 Si 2.51, 1 Ag 2.61
Si  0.0746  0.5063  0.7694  1 Si 2.51, 1 Ag 2.61
Si  0.2146  0.6225  0.3590  1 Si 2.51, 1 Ag 2.59
Si  0.2854  0.1225  0.1410  1 Si 2.51, 1 Ag 2.59
Si  0.7854  0.3775  0.6410  1 Si 2.51, 1 Ag 2.59
Si  0.7146  0.8775  0.8590  1 Si 2.51, 1 Ag 2.59
Ag  0.3944  0.7985  0.2924  2 Si 2.59-2.61
Ag  0.1056  0.2985  0.2076  2 Si 2.59-2.61
Ag  0.6056  0.2015  0.7076  2 Si 2.59-2.61
Ag  0.8944  0.7015  0.7924  2 Si 2.59-2.61

[9]
First-principles (PBE-GGA) data for a relaxed structure of BaSiAg, as listed in the Alexandria database.

## Properties
symmetry	Fmm2, No. 42
formation energy from raw total energies	0.08	eV per atom
total magnetic moment	0.0	μB per formula unit

Cell: 6.4458 6.3596 3.7327 Å, 74.32 71.79 33.89°
With the nearest neighbours (Å) after each atom.
Sites, in units of the cell vectors:
Ag  0.0472  0.0472  0.9528  4 Si 2.68-2.88
Ba  0.3313  0.3313  0.6687  3 Ag 3.31-3.57, 5 Si 3.39-3.68
Si  0.6215  0.6215  0.3785  4 Ag 2.68-2.88

[10]
First-principles (PBE-GGA) data for a relaxed structure of BaSiAg2, as listed in the Alexandria database.

## Properties
symmetry	P4/mmm, No. 123
formation energy from raw total energies	0.19	eV per atom
total magnetic moment	0.0	μB per formula unit

Cell: 3.5192 3.5163 7.7393 Å, 90.00 90.00 90.00°
With the nearest neighbours (Å) after each atom.
Sites, in units of the cell vectors:
Ag  0.0000  0.0000  0.9322  1 Ag 2.82, 4 Si 2.86
Ag  0.0000  0.0000  0.5678  1 Ag 2.82, 4 Si 2.86
Ba  0.5000  0.5000  0.2500  8 Ag 3.50, 4 Ba 3.52, 2 Si 3.87
Si  0.5000  0.5000  0.7500  8 Ag 2.86

[11]
First-principles (PBE-GGA) data for a relaxed structure of Ba2SiAg, as listed in the Alexandria database.

## Properties
symmetry	Amm2, No. 38
formation energy from raw total energies	-0.26	eV per atom
total magnetic moment	0.0	μB per formula unit

Cell: 6.2510 6.2510 4.7311 Å, 90.00 90.00 48.61°
With the nearest neighbours (Å) after each atom.
Sites, in units of the cell vectors:
Si  0.4222  0.4222  0.6250  2 Ag 2.59
Ba  0.0197  0.0197  0.1249  3 Ag 3.35-3.54, 4 Si 3.67
Ba  0.7274  0.7274  0.6249  3 Si 3.40-3.48, 4 Ag 3.69
Ag  0.3307  0.3307  0.1251  2 Si 2.59

[12]
First-principles (PBE-GGA) data for a relaxed structure of Ba4SiAg, as listed in the Alexandria database.

## Properties
symmetry	F-43m, No. 216
formation energy from raw total energies	0.59	eV per atom
total magnetic moment	0.0	μB per formula unit

Cell: 7.0485 7.0485 7.0485 Å, 60.00 60.00 60.00°
With the nearest neighbours (Å) after each atom.
Sites, in units of the cell vectors:
Ba  0.8722  0.3759  0.3759  6 Ba 3.50-3.55
Ba  0.3759  0.3759  0.8722  6 Ba 3.50-3.55
Ba  0.3759  0.8722  0.3759  6 Ba 3.50-3.55
Ba  0.3759  0.3759  0.3759  6 Ba 3.50-3.55
Si  0.7500  0.7500  0.7500  12 Ba 4.13, 4 Ag 4.32
Ag  0.0000  0.0000  0.0000  12 Ba 4.14, 4 Si 4.32

Copy entry 1 word for word.
First-principles (PBE-GGA) data for a relaxed structure of Ba2SiAg, as listed in the Alexandria database.

## Properties
symmetry	Pmmm, No. 47
formation energy from raw total energies	-0.19	eV per atom
total magnetic moment	0.0	μB per formula unit

Cell: 4.0177 3.9199 9.4161 Å, 65.44 90.00 90.00°
With the nearest neighbours (Å) after each atom.
Sites, in units of the cell vectors:
Ag  0.5000  0.7500  0.7500  8 Ba 3.61-3.62, 4 Ag 3.92-4.02
Ba  0.0000  0.9834  0.0163  4 Si 3.45, 4 Ag 3.61-3.62
Ba  0.0000  0.5166  0.4837  4 Si 3.45, 4 Ag 3.61-3.62
Si  0.5000  0.2500  0.2500  8 Ba 3.45